Here is a relaxed structure of Fe3As2Pb2 from OQMD via LeMat-Bulk. Energies are from GGA-PBE.

total magnetization = 6.79 μB per cell
electronic total energy = -5.73 eV/atom

Cell: 9.297 9.297 9.297 Å, 25.90 25.90 25.90°
Fractional positions:
Fe1 0.000 0.000 0.000
Fe2 0.196 0.196 0.196
Fe3 0.692 0.692 0.692
As1 0.350 0.350 0.350
As2 0.849 0.849 0.849
Pb1 0.100 0.100 0.100
Pb2 0.590 0.590 0.590